[1]
VASP calculation (GGA-PBE) on a relaxed structure of Mo3Pt4.

Results
Offset from the most stable computed form = 0.43 eV/f.u.
Uncorrected energy = -0.602 Ry/atom
Density of states at the Fermi level = 3.61 states/eV/f.u.
Calculated density = 15.8 g cm⁻³
Calculated formation energy = -0.695 eV per formula unit

Cell: 5.081 5.081 5.034 Å, 90.00 90.00 120.00°
Positions (direct):
Mo1 0.500 0.500 0.000
Mo2 0.000 0.500 0.000
Pt1 0.667 0.333 0.500
Mo3 0.500 0.000 0.000
Pt2 0.333 0.667 0.500
Pt3 0.000 0.000 0.746
Pt4 0.000 0.000 0.254

[2]
VASP calculation (GGA-PBE) on a relaxed structure of Mo7Pt.

Results
Uncorrected energy = -0.741 Ry/atom
Density of states at the Fermi level = 10.19 states/eV/f.u.
Calculated density = 11.4 g cm⁻³
Calculated formation energy = 1.162 eV per formula unit

Cell: 5.638 5.638 5.638 Å, 60.00 60.00 60.00°
Positions (direct):
Mo1 0.500 0.000 0.500
Mo2 0.500 0.500 0.500
Mo3 0.500 0.500 0.000
Mo4 0.500 0.000 0.000
Pt1 0.000 0.000 0.000
Mo5 0.000 0.500 0.000
Mo6 0.000 0.500 0.500
Mo7 0.000 0.000 0.500

[3]
VASP calculation (GGA-PBE) on a relaxed structure of Mo2Pt3.

Results
Offset from the most stable computed form = 0.91 eV/f.u.
Uncorrected energy = -0.582 Ry/atom
Density of states at the Fermi level = 6.08 states/eV/f.u.
Calculated density = 16.2 g cm⁻³
Calculated formation energy = 0.209 eV per formula unit

Cell: 5.270 5.270 5.270 Å, 50.24 50.24 50.24°
Positions (direct):
Pt1 0.798 0.798 0.798
Mo1 0.595 0.595 0.595
Pt2 0.202 0.202 0.202
Mo2 0.405 0.405 0.405
Pt3 0.000 0.000 0.000